# 1
The following is a DFT calculation (PBE-GGA) of an optimized crystal structure of CsSb2PbAu4.

## Properties
- raw formation energy (kJ/mol of formula units) = -119.6
- crystal system = tetragonal
- SG = P4/mmm, No. 123
- V (Å³/cell) = 242.4

```
CsSb2PbAu4
1.0
4.9163 0.0000 0.0000
0.0000 4.9163 0.0000
0.0000 0.0000 10.0302
Cs Sb Pb Au
1 2 1 4
Direct
0.0000 0.0000 0.0000 Cs
0.5000 0.5000 0.2124 Sb
0.5000 0.5000 0.7876 Sb
0.0000 0.0000 0.5000 Pb
0.0000 0.5000 0.3262 Au
0.0000 0.5000 0.6738 Au
0.5000 0.0000 0.3262 Au
0.5000 0.0000 0.6738 Au
```

# 2
The following is a DFT calculation (PBE-GGA) of an optimized crystal structure of CsSbPb2Au.

## Properties
- raw formation energy (kJ/mol of formula units) = -64.7
- crystal system = tetragonal
- SG = P4mm, No. 99
- V (Å³/cell) = 223.9

```
CsSbPb2Au
1.0
5.4372 0.0000 0.0000
0.0000 5.4372 0.0000
0.0000 0.0000 7.5725
Cs Sb Pb Au
1 1 2 1
Direct
0.0000 0.0000 0.0000 Cs
0.5000 0.5000 0.2165 Sb
0.0000 0.5000 0.4412 Pb
0.5000 0.0000 0.4412 Pb
0.0000 0.0000 0.5377 Au
```

# 3
The following is a DFT calculation (PBE-GGA) of an optimized crystal structure of CsSbPbAu.

## Properties
- raw formation energy (kJ/mol of formula units) = -87.1
- crystal system = monoclinic
- SG = Cm, No. 8
- V (Å³/cell) = 146.0

```
CsSbPbAu
1.0
3.9557 -2.2894 0.0000
3.9557 2.2894 0.0000
-2.6273 0.0000 8.0619
Cs Sb Pb Au
1 1 1 1
Direct
0.0000 0.0000 0.0000 Cs
0.5568 0.5568 0.6715 Sb
0.7952 0.7952 0.3880 Pb
0.1847 0.1847 0.5563 Au
```

# 4
The following is a DFT calculation (PBE-GGA) of an optimized crystal structure of CsSb2Pb2Au2.

## Properties
- raw formation energy (kJ/mol of formula units) = -147.9
- crystal system = trigonal
- SG = R-3m, No. 166
- V (Å³/cell) = 232.9

```
CsSb2Pb2Au2
1.0
2.3616 1.3635 12.0561
-2.3616 1.3635 12.0561
0.0000 -2.7269 12.0561
Cs Sb Pb Au
1 2 2 2
Direct
0.0000 0.0000 0.0000 Cs
0.2555 0.2555 0.2555 Sb
0.7445 0.7445 0.7445 Sb
0.1328 0.1328 0.1328 Pb
0.8672 0.8672 0.8672 Pb
0.4247 0.4247 0.4247 Au
0.5753 0.5753 0.5753 Au
```

# 5
The following is a DFT calculation (PBE-GGA) of an optimized crystal structure of CsPb2AuSe.

## Properties
- raw formation energy (kJ/mol of formula units) = -10.1
- crystal system = tetragonal
- SG = P4/mmm, No. 123
- V (Å³/cell) = 179.9

```
CsPb2AuSe
1.0
5.6119 0.0000 0.0000
0.0000 5.6119 0.0000
0.0000 0.0000 5.7125
Cs Pb Au Se
1 2 1 1
Direct
0.0000 0.0000 0.0000 Cs
0.0000 0.5000 0.5000 Pb
0.5000 0.0000 0.5000 Pb
0.5000 0.5000 0.5000 Au
0.5000 0.5000 0.0000 Se
```

# 6
The following is a DFT calculation (PBE-GGA) of an optimized crystal structure of Cs2Sn4PbAu3.

## Properties
- calculated total energy (eV per cell) = -33.3
- crystal system = tetragonal
- SG = P-4m2, No. 115
- V (Å³/cell) = 303.4

```
Cs2Sn4PbAu3
1.0
5.0587 0.0000 0.0000
0.0000 5.0587 0.0000
0.0000 0.0000 11.8545
Cs Sn Pb Au
2 4 1 3
Direct
0.0000 0.5000 0.2492 Cs
0.5000 0.0000 0.7508 Cs
0.0000 0.0000 0.0000 Sn
0.0000 0.5000 0.6399 Sn
0.5000 0.0000 0.3601 Sn
0.5000 0.5000 0.0000 Sn
0.0000 0.0000 0.5000 Pb
0.0000 0.5000 0.8818 Au
0.5000 0.0000 0.1182 Au
0.5000 0.5000 0.5000 Au
```

# 7
The following is a DFT calculation (PBE-GGA) of an optimized crystal structure of Cs2TlPbAu.

## Properties
- calculated total energy (eV per cell) = -24.3
- crystal system = tetragonal
- SG = P4/nmm, No. 129
- V (Å³/cell) = 460.3

```
Cs2TlPbAu
1.0
5.1525 0.0000 0.0000
0.0000 5.1525 0.0000
0.0000 0.0000 17.3381
Cs Tl Pb Au
4 2 2 2
Direct
0.2500 0.2500 0.1092 Cs
0.2500 0.2500 0.6884 Cs
0.7500 0.7500 0.3116 Cs
0.7500 0.7500 0.8908 Cs
0.2500 0.2500 0.3783 Tl
0.7500 0.7500 0.6217 Tl
0.2500 0.7500 0.5000 Pb
0.7500 0.2500 0.5000 Pb
0.2500 0.2500 0.8976 Au
0.7500 0.7500 0.1024 Au
```

# 8
The following is a DFT calculation (PBE-GGA) of an optimized crystal structure of Cs2Tl12PbAu3.

## Properties
- calculated total energy (eV per cell) = -43.3
- crystal system = trigonal
- SG = R-3m, No. 166
- V (Å³/cell) = 707.8

```
Cs2Tl12PbAu3
1.0
5.6023 3.2345 6.5101
-5.6023 3.2345 6.5101
0.0000 -6.4690 6.5101
Cs Tl Pb Au
2 12 1 3
Direct
0.1025 0.1025 0.1025 Cs
0.8975 0.8975 0.8975 Cs
0.1495 0.6438 0.6438 Tl
0.2236 0.2236 0.6006 Tl
0.2236 0.6006 0.2236 Tl
0.3562 0.3562 0.8505 Tl
0.3562 0.8505 0.3562 Tl
0.3994 0.7764 0.7764 Tl
0.6006 0.2236 0.2236 Tl
0.6438 0.1495 0.6438 Tl
0.6438 0.6438 0.1495 Tl
0.7764 0.3994 0.7764 Tl
0.7764 0.7764 0.3994 Tl
0.8505 0.3562 0.3562 Tl
0.5000 0.5000 0.5000 Pb
0.0000 0.5000 0.5000 Au
0.5000 0.0000 0.5000 Au
0.5000 0.5000 0.0000 Au
```

# 9
The following is a DFT calculation (PBE-GGA) of an optimized crystal structure of Cs2Tl4PbAu3.

## Properties
- calculated total energy (eV per cell) = -26.1
- crystal system = tetragonal
- SG = P-4m2, No. 115
- V (Å³/cell) = 334.3

```
Cs2Tl4PbAu3
1.0
5.3119 0.0000 0.0000
0.0000 5.3119 0.0000
0.0000 0.0000 11.8464
Cs Tl Pb Au
2 4 1 3
Direct
0.0000 0.5000 0.2502 Cs
0.5000 0.0000 0.7498 Cs
0.0000 0.0000 0.0000 Tl
0.0000 0.5000 0.6373 Tl
0.5000 0.0000 0.3627 Tl
0.5000 0.5000 0.0000 Tl
0.0000 0.0000 0.5000 Pb
0.0000 0.5000 0.8843 Au
0.5000 0.0000 0.1157 Au
0.5000 0.5000 0.5000 Au
```

# 10
The following is a DFT calculation (PBE-GGA) of an optimized crystal structure of Cs2TlPb4Au3.

## Properties
- calculated total energy (eV per cell) = -30.1
- crystal system = tetragonal
- SG = P-4m2, No. 115
- V (Å³/cell) = 329.2

```
Cs2TlPb4Au3
1.0
5.2428 0.0000 0.0000
0.0000 5.2428 0.0000
0.0000 0.0000 11.9765
Cs Tl Pb Au
2 1 4 3
Direct
0.0000 0.5000 0.2466 Cs
0.5000 0.0000 0.7534 Cs
0.5000 0.5000 0.0000 Tl
0.0000 0.0000 0.5000 Pb
0.0000 0.5000 0.8653 Pb
0.5000 0.0000 0.1347 Pb
0.5000 0.5000 0.5000 Pb
0.0000 0.0000 0.0000 Au
0.0000 0.5000 0.6209 Au
0.5000 0.0000 0.3791 Au
```

# 11
The following is a DFT calculation (PBE-GGA) of an optimized crystal structure of CsTl4PbAu2.

## Properties
- calculated total energy (eV per cell) = -21.2
- crystal system = tetragonal
- SG = P4/mmm, No. 123
- V (Å³/cell) = 269.3

```
CsTl4PbAu2
1.0
5.3120 0.0000 0.0000
0.0000 5.3120 0.0000
0.0000 0.0000 9.5442
Cs Tl Pb Au
1 4 1 2
Direct
0.0000 0.0000 0.0000 Cs
0.0000 0.5000 0.3070 Tl
0.0000 0.5000 0.6930 Tl
0.5000 0.0000 0.3070 Tl
0.5000 0.0000 0.6930 Tl
0.0000 0.0000 0.5000 Pb
0.5000 0.5000 0.1507 Au
0.5000 0.5000 0.8493 Au
```

# 12
The following is a DFT calculation (PBE-GGA) of an optimized crystal structure of Cs2Tl2PbAu.

## Properties
- calculated total energy (eV per cell) = -28.7
- crystal system = orthorhombic
- SG = Ibam, No. 72
- V (Å³/cell) = 497.9

```
Cs2Tl2PbAu
1.0
-3.8654 8.8381 3.6435
3.8654 -8.8381 3.6435
3.8654 8.8381 -3.6435
Cs Tl Pb Au
4 4 2 2
Direct
0.1656 0.2453 0.4110 Cs
0.3344 0.7453 0.0797 Cs
0.6656 0.2547 0.9203 Cs
0.8344 0.7547 0.5890 Cs
0.0911 0.7182 0.8093 Tl
0.4089 0.2182 0.6271 Tl
0.5911 0.7818 0.3729 Tl
0.9089 0.2818 0.1907 Tl
0.2500 0.2500 0.0000 Pb
0.7500 0.7500 0.0000 Pb
0.2500 0.7500 0.5000 Au
0.7500 0.2500 0.5000 Au
```

# 13
The following is a DFT calculation (PBE-GGA) of an optimized crystal structure of CsTl2PbAu.

## Properties
- calculated total energy (eV per cell) = -12.2
- crystal system = tetragonal
- SG = P4/mmm, No. 123
- V (Å³/cell) = 195.0

```
CsTl2PbAu
1.0
5.8518 0.0000 0.0000
0.0000 5.8518 0.0000
0.0000 0.0000 5.6941
Cs Tl Pb Au
1 2 1 1
Direct
0.0000 0.0000 0.0000 Cs
0.0000 0.5000 0.5000 Tl
0.5000 0.0000 0.5000 Tl
0.5000 0.5000 0.0000 Pb
0.5000 0.5000 0.5000 Au
```

# 14
The following is a DFT calculation (PBE-GGA) of an optimized crystal structure of CsYPbAu2.

## Properties
- calculated total energy (eV per cell) = -14.1
- crystal system = tetragonal
- SG = P4/mmm, No. 123
- V (Å³/cell) = 190.8

```
CsYPbAu2
1.0
5.5179 0.0000 0.0000
0.0000 5.5179 0.0000
0.0000 0.0000 6.2681
Cs Y Pb Au
1 1 1 2
Direct
0.0000 0.0000 0.0000 Cs
0.5000 0.5000 0.0000 Y
0.0000 0.0000 0.5000 Pb
0.0000 0.5000 0.5000 Au
0.5000 0.0000 0.5000 Au
```

# 15
The following is a DFT calculation (PBE-GGA) of an optimized crystal structure of CsZnPbAu3.

## Properties
- calculated total energy (eV per cell) = -33.5
- crystal system = triclinic
- SG = P-1, No. 2
- V (Å³/cell) = 368.8

```
CsZnPbAu3
1.0
7.1390 0.0000 0.0000
-0.0043 7.3876 0.0000
-2.6459 -0.0113 6.9926
Cs Zn Pb Au
2 2 2 6
Direct
0.2257 0.2499 0.4924 Cs
0.7743 0.7501 0.5076 Cs
0.1318 0.7502 0.1407 Zn
0.8682 0.2498 0.8593 Zn
0.4180 0.7500 0.9054 Pb
0.5820 0.2500 0.0946 Pb
0.2007 0.0557 0.0018 Au
0.2010 0.4444 0.0019 Au
0.2732 0.7498 0.5027 Au
0.7268 0.2502 0.4973 Au
0.7990 0.5556 0.9981 Au
0.7993 0.9443 0.9982 Au
```

# 16
The following is a DFT calculation (PBE-GGA) of an optimized crystal structure of Cs12Pd3Au5.

## Properties
- calculated total energy (eV per cell) = -173.1
- crystal system = cubic
- SG = Ia-3d, No. 230
- V (Å³/cell) = 4656.4

```
Cs12Pd3Au5
1.0
-10.5196 10.5196 10.5196
10.5196 -10.5196 10.5196
10.5196 10.5196 -10.5196
Cs Pd Au
48 12 20
Direct
0.0557 0.2287 0.1342 Cs
0.0557 0.3271 0.9215 Cs
0.0785 0.6342 0.4056 Cs
0.0785 0.9443 0.6729 Cs
0.0944 0.7287 0.6729 Cs
0.0944 0.8658 0.4215 Cs
0.1342 0.0557 0.2287 Cs
0.1342 0.5785 0.9056 Cs
0.1729 0.2287 0.5944 Cs
0.1729 0.4443 0.5785 Cs
0.2287 0.1342 0.0557 Cs
0.2287 0.5944 0.1729 Cs
0.2713 0.3271 0.9056 Cs
0.2713 0.4443 0.3658 Cs
0.3271 0.9056 0.2713 Cs
0.3271 0.9215 0.0557 Cs
0.3658 0.2713 0.4443 Cs
0.3658 0.5944 0.9215 Cs
0.4056 0.0785 0.6342 Cs
0.4056 0.8271 0.7713 Cs
0.4215 0.0944 0.8658 Cs
0.4215 0.8271 0.5557 Cs
0.4443 0.3658 0.2713 Cs
0.4443 0.5785 0.1729 Cs
0.5557 0.4215 0.8271 Cs
0.5557 0.6342 0.7287 Cs
0.5785 0.1729 0.4443 Cs
0.5785 0.9056 0.1342 Cs
0.5944 0.1729 0.2287 Cs
0.5944 0.9215 0.3658 Cs
0.6342 0.4056 0.0785 Cs
0.6342 0.7287 0.5557 Cs
0.6729 0.0785 0.9443 Cs
0.6729 0.0944 0.7287 Cs
0.7287 0.5557 0.6342 Cs
0.7287 0.6729 0.0944 Cs
0.7713 0.4056 0.8271 Cs
0.7713 0.8658 0.9443 Cs
0.8271 0.5557 0.4215 Cs
0.8271 0.7713 0.4056 Cs
0.8658 0.4215 0.0944 Cs
0.8658 0.9443 0.7713 Cs
0.9056 0.1342 0.5785 Cs
0.9056 0.2713 0.3271 Cs
0.9215 0.0557 0.3271 Cs
0.9215 0.3658 0.5944 Cs
0.9443 0.6729 0.0785 Cs
0.9443 0.7713 0.8658 Cs
0.1250 0.2500 0.3750 Pd
0.1250 0.3750 0.7500 Pd
0.2500 0.3750 0.1250 Pd
0.2500 0.8750 0.6250 Pd
0.3750 0.1250 0.2500 Pd
0.3750 0.7500 0.1250 Pd
0.6250 0.2500 0.8750 Pd
0.6250 0.8750 0.7500 Pd
0.7500 0.1250 0.3750 Pd
0.7500 0.6250 0.8750 Pd
0.8750 0.6250 0.2500 Pd
0.8750 0.7500 0.6250 Pd
0.0000 0.0000 0.0000 Au
0.0000 0.0000 0.5000 Au
0.0000 0.5000 0.0000 Au
0.0000 0.5000 0.5000 Au
0.1250 0.7500 0.8750 Au
0.1250 0.8750 0.2500 Au
0.2500 0.1250 0.8750 Au
0.2500 0.6250 0.3750 Au
0.3750 0.2500 0.6250 Au
0.3750 0.6250 0.7500 Au
0.5000 0.0000 0.0000 Au
0.5000 0.0000 0.5000 Au
0.5000 0.5000 0.0000 Au
0.5000 0.5000 0.5000 Au
0.6250 0.3750 0.2500 Au
0.6250 0.7500 0.3750 Au
0.7500 0.3750 0.6250 Au
0.7500 0.8750 0.1250 Au
0.8750 0.1250 0.7500 Au
0.8750 0.2500 0.1250 Au
```

# 17
The following is a DFT calculation (PBE-GGA) of an optimized crystal structure of Cs5PdAu.

## Properties
- calculated total energy (eV per cell) = -26.2
- crystal system = monoclinic
- SG = P2_1/m, No. 11
- V (Å³/cell) = 904.0

```
Cs5PdAu
1.0
10.3185 0.0000 0.0000
0.0000 5.2434 0.0000
-0.2938 0.0000 16.7078
Cs Pd Au
10 2 2
Direct
0.0847 0.2500 0.3173 Cs
0.1370 0.7500 0.9265 Cs
0.3304 0.7500 0.4794 Cs
0.3508 0.2500 0.1376 Cs
0.3755 0.2500 0.7086 Cs
0.6245 0.7500 0.2914 Cs
0.6492 0.7500 0.8624 Cs
0.6696 0.2500 0.5206 Cs
0.8630 0.2500 0.0735 Cs
0.9153 0.7500 0.6827 Cs
0.4291 0.2500 0.3531 Pd
0.5709 0.7500 0.6469 Pd
0.0865 0.7500 0.1494 Au
0.9135 0.2500 0.8506 Au
```